ScTiPt2 PBE-GGA relaxed; E = -7.20 eV per atom; calculated volume = 291.3 Å³/cell; ΔH_f (0 K) = -621 meV/atom
1.0
7.194 0.000 0.000
0.000 7.194 0.000
0.000 0.000 5.630
Sc Ti Pt
4 4 8
Direct
0.000 0.000 0.000
0.000 0.500 0.250
0.500 0.000 0.750
0.500 0.500 0.500
0.000 0.000 0.500
0.000 0.500 0.750
0.500 0.000 0.250
0.500 0.500 0.000
0.229 0.250 0.625
0.250 0.729 0.875
0.250 0.771 0.375
0.271 0.250 0.125
0.729 0.750 0.125
0.750 0.229 0.375
0.750 0.271 0.875
0.771 0.750 0.625